# Mg2ZnAs

Crystalline Mg2ZnAs at its relaxed geometry (GGA-PBE, Alexandria via LeMat-Bulk).

The space group is P4/mmm (No. 123) and the conventional cell measures 4.422, 4.422 and 3.846 Å, with angles of 90.00, 90.00 and 90.00 degrees. The asymmetric unit holds Mg at (0.000, 0.500, 0.000), Zn at (0.000, 0.000, 0.500) and As at (0.500, 0.500, 0.500).

Its total energy is -2.491 eV/atom. As for the energy of formation from the pure elements: -0.213 eV per atom. As for the energy above the most stable polymorph in this dataset: 68 meV/atom.